# Ta3NiB | Alexandria via LeMat-Bulk | GGA-PBEsol | relaxed
data_Ta3NiB
_chemical_formula_sum 'Ta3 Ni1 B1'
_cell_length_a 4.247
_cell_length_b 4.247
_cell_length_c 4.247
_cell_angle_alpha 90.00
_cell_angle_beta 90.00
_cell_angle_gamma 90.00
_symmetry_space_group_name_H-M 'P m -3 m'
_symmetry_Int_Tables_number 221
_symmetry_space_group_name_Hall '-P 4 2 3'
loop_
_atom_site_label
_atom_site_fract_x
_atom_site_fract_y
_atom_site_fract_z
Ta1 0.000 0.000 0.500
Ni1 0.500 0.500 0.500
B1 0.000 0.000 0.000
# E_form (meV per atom): 147
# Distance to the lowest polymorph of the same formula (meV per atom): 0.0

# Ta2NiB2 | Alexandria via LeMat-Bulk | GGA-PBEsol | relaxed
data_Ta2NiB2
_chemical_formula_sum 'Ta4 Ni2 B4'
_cell_length_a 5.769
_cell_length_b 5.769
_cell_length_c 3.305
_cell_angle_alpha 90.00
_cell_angle_beta 90.00
_cell_angle_gamma 90.00
_symmetry_space_group_name_H-M 'P 4/m b m'
_symmetry_Int_Tables_number 127
_symmetry_space_group_name_Hall '-P 4 2ab'
loop_
_atom_site_label
_atom_site_fract_x
_atom_site_fract_y
_atom_site_fract_z
Ta1 0.181 0.319 0.000
Ni1 0.000 0.000 0.500
B1 0.109 0.609 0.500
# E_form (meV per atom): -692

# Ta3Ni20B6 | Alexandria via LeMat-Bulk | GGA-PBEsol | relaxed
data_Ta3Ni20B6
_chemical_formula_sum 'Ta12 Ni80 B24'
_cell_length_a 10.465
_cell_length_b 10.465
_cell_length_c 10.465
_cell_angle_alpha 90.00
_cell_angle_beta 90.00
_cell_angle_gamma 90.00
_symmetry_space_group_name_H-M 'F m -3 m'
_symmetry_Int_Tables_number 225
_symmetry_space_group_name_Hall '-F 4 2 3'
loop_
_atom_site_label
_atom_site_fract_x
_atom_site_fract_y
_atom_site_fract_z
Ta1 0.000 0.000 0.000
Ta2 0.250 0.250 0.250
Ni1 0.000 0.172 0.172
Ni2 0.116 0.116 0.384
B1 0.000 0.000 0.267
# E_form (meV per atom): -430

# Ta2Ni21B6 | Alexandria via LeMat-Bulk | GGA-PBEsol | relaxed
data_Ta2Ni21B6
_chemical_formula_sum 'Ta8 Ni84 B24'
_cell_length_a 10.397
_cell_length_b 10.397
_cell_length_c 10.397
_cell_angle_alpha 90.00
_cell_angle_beta 90.00
_cell_angle_gamma 90.00
_symmetry_space_group_name_H-M 'F m -3 m'
_symmetry_Int_Tables_number 225
_symmetry_space_group_name_Hall '-F 4 2 3'
loop_
_atom_site_label
_atom_site_fract_x
_atom_site_fract_y
_atom_site_fract_z
Ta1 0.250 0.250 0.250
Ni1 0.000 0.000 0.000
Ni2 0.000 0.170 0.170
Ni3 0.116 0.116 0.384
B1 0.000 0.000 0.268
# E_form (meV per atom): -380

# Tb3Ni19B10 | Alexandria via LeMat-Bulk | GGA-PBEsol | relaxed
data_Tb3Ni19B10
_chemical_formula_sum 'Tb6 Ni38 B20'
_cell_length_a 13.012
_cell_length_b 8.629
_cell_length_c 5.708
_cell_angle_alpha 90.00
_cell_angle_beta 91.46
_cell_angle_gamma 90.00
_symmetry_space_group_name_H-M 'C 1 2/m 1'
_symmetry_Int_Tables_number 12
loop_
_symmetry_equiv_pos_as_xyz
'x,y,z'
'-x,-y,-z'
'-x,y,-z'
'x,-y,z'
'x+1/2,y+1/2,z'
'-x+1/2,-y+1/2,-z'
'-x+1/2,y+1/2,-z'
'x+1/2,-y+1/2,z'
loop_
_atom_site_label
_atom_site_fract_x
_atom_site_fract_y
_atom_site_fract_z
Tb1 0.000 0.000 0.000
Tb2 0.126 0.500 0.388
Ni1 0.000 0.000 0.500
Ni2 0.030 0.258 0.699
Ni3 0.122 0.500 0.874
Ni4 0.127 0.249 0.074
Ni5 0.162 0.000 0.702
Ni6 0.183 0.000 0.270
Ni7 0.219 0.264 0.698
B1 0.000 0.384 0.000
B2 0.118 0.182 0.431
B3 0.246 0.105 0.974
# E_form (meV per atom): -489

# TbNi4B | Alexandria via LeMat-Bulk | GGA-PBEsol | relaxed
data_TbNi4B
_chemical_formula_sum 'Tb2 Ni8 B2'
_cell_length_a 4.9029
_cell_length_b 4.9029
_cell_length_c 6.8802
_cell_angle_alpha 90.00
_cell_angle_beta 90.00
_cell_angle_gamma 120.00
_symmetry_space_group_name_H-M 'P 6/m m m'
_symmetry_Int_Tables_number 191
_symmetry_space_group_name_Hall '-P 6 2'
loop_
_atom_site_label
_atom_site_fract_x
_atom_site_fract_y
_atom_site_fract_z
Tb1 0.0000 0.0000 0.0000
Tb2 0.0000 0.0000 0.5000
Ni1 0.0000 0.5000 0.2096
Ni2 0.3333 0.6667 0.5000
B1 0.3333 0.6667 0.0000
# E_form (meV per atom): -520

# TbNiB4 | Alexandria via LeMat-Bulk | GGA-PBEsol | relaxed
data_TbNiB4
_chemical_formula_sum 'Tb8 Ni8 B32'
_cell_length_a 7.474
_cell_length_b 7.474
_cell_length_c 8.475
_cell_angle_alpha 90.00
_cell_angle_beta 90.00
_cell_angle_gamma 90.00
_symmetry_space_group_name_H-M 'I 4/m m m'
_symmetry_Int_Tables_number 139
_symmetry_space_group_name_Hall '-I 4 2'
loop_
_atom_site_label
_atom_site_fract_x
_atom_site_fract_y
_atom_site_fract_z
Tb1 0.000 0.000 0.202
Tb2 0.000 0.500 0.250
Ni1 0.000 0.228 0.500
B1 0.112 0.277 0.000
B2 0.232 0.232 0.347
# E_form (meV per atom): -630

# TbNi2B2 | Alexandria via LeMat-Bulk | GGA-PBEsol | relaxed
data_TbNi2B2
_chemical_formula_sum 'Tb4 Ni8 B8'
_cell_length_a 8.347
_cell_length_b 5.235
_cell_length_c 6.783
_cell_angle_alpha 90.00
_cell_angle_beta 127.06
_cell_angle_gamma 90.00
_symmetry_space_group_name_H-M 'C 1 2/c 1'
_symmetry_Int_Tables_number 15
loop_
_symmetry_equiv_pos_as_xyz
'x,y,z'
'-x,-y,-z'
'-x,y,-z+1/2'
'x,-y,z+1/2'
'x+1/2,y+1/2,z'
'-x+1/2,-y+1/2,-z'
'-x+1/2,y+1/2,-z+1/2'
'x+1/2,-y+1/2,z+1/2'
loop_
_atom_site_label
_atom_site_fract_x
_atom_site_fract_y
_atom_site_fract_z
Tb1 0.000 0.120 0.250
Ni1 0.126 0.405 0.700
B1 0.170 0.326 0.025
# E_form (meV per atom): -601

# Tb3Ni13B2 | Alexandria via LeMat-Bulk | GGA-PBEsol | relaxed
data_Tb3Ni13B2
_chemical_formula_sum 'Tb3 Ni13 B2'
_cell_length_a 4.8679
_cell_length_b 4.8679
_cell_length_c 10.7795
_cell_angle_alpha 90.00
_cell_angle_beta 90.00
_cell_angle_gamma 120.00
_symmetry_space_group_name_H-M 'P 6/m m m'
_symmetry_Int_Tables_number 191
_symmetry_space_group_name_Hall '-P 6 2'
loop_
_atom_site_label
_atom_site_fract_x
_atom_site_fract_y
_atom_site_fract_z
Tb1 0.0000 0.0000 0.0000
Tb2 0.0000 0.0000 0.3278
Ni1 0.0000 0.5000 0.1346
Ni2 0.0000 0.5000 0.5000
Ni3 0.3333 0.6667 0.3194
B1 0.3333 0.6667 0.0000
# E_form (meV per atom): -452

# YTcNi2B | Alexandria via LeMat-Bulk | GGA-PBEsol | relaxed
data_YTcNi2B
_chemical_formula_sum 'Y1 Tc1 Ni2 B1'
_cell_length_a 4.339
_cell_length_b 4.339
_cell_length_c 5.169
_cell_angle_alpha 90.00
_cell_angle_beta 90.00
_cell_angle_gamma 90.00
_symmetry_space_group_name_H-M 'P 4/m m m'
_symmetry_Int_Tables_number 123
_symmetry_space_group_name_Hall '-P 4 2'
loop_
_atom_site_label
_atom_site_fract_x
_atom_site_fract_y
_atom_site_fract_z
Y1 0.000 0.000 0.000
Tc1 0.000 0.000 0.500
Ni1 0.000 0.500 0.500
B1 0.500 0.500 0.000
# E_form (meV per atom): 1630

# NiBTe2 | Alexandria via LeMat-Bulk | GGA-PBEsol | relaxed
data_NiBTe2
_chemical_formula_sum 'Ni4 B4 Te8'
_cell_length_a 5.508
_cell_length_b 5.508
_cell_length_c 10.578
_cell_angle_alpha 90.00
_cell_angle_beta 90.00
_cell_angle_gamma 90.00
_symmetry_space_group_name_H-M 'I -4 2 d'
_symmetry_Int_Tables_number 122
_symmetry_space_group_name_Hall 'I -4 2bw'
loop_
_atom_site_label
_atom_site_fract_x
_atom_site_fract_y
_atom_site_fract_z
Ni1 0.000 0.000 0.000
B1 0.000 0.000 0.500
Te1 0.230 0.250 0.625
# Energy relative to the elements, uncorrected (eV/atom): 0.185

# NiBTe2 | Alexandria via LeMat-Bulk | GGA-PBEsol | relaxed
data_NiBTe2
_chemical_formula_sum 'Ni3 B3 Te6'
_cell_length_a 3.4410
_cell_length_b 3.4410
_cell_length_c 22.7881
_cell_angle_alpha 90.00
_cell_angle_beta 90.00
_cell_angle_gamma 120.00
_symmetry_space_group_name_H-M 'R -3 m'
_symmetry_Int_Tables_number 166
_symmetry_space_group_name_Hall '-R 3 2"'
loop_
_atom_site_label
_atom_site_fract_x
_atom_site_fract_y
_atom_site_fract_z
Ni1 0.0000 0.0000 0.0000
B1 0.0000 0.0000 0.5000
Te1 0.0000 0.0000 0.1033
# Energy relative to the elements, uncorrected (eV/atom): 0.788

# ZrNiBTe2 | Alexandria via LeMat-Bulk | GGA-PBEsol | relaxed
data_ZrNiBTe2
_chemical_formula_sum 'Zr1 Ni1 B1 Te2'
_cell_length_a 5.461
_cell_length_b 5.461
_cell_length_c 4.607
_cell_angle_alpha 90.00
_cell_angle_beta 90.00
_cell_angle_gamma 90.00
_symmetry_space_group_name_H-M 'P 4/m m m'
_symmetry_Int_Tables_number 123
_symmetry_space_group_name_Hall '-P 4 2'
loop_
_atom_site_label
_atom_site_fract_x
_atom_site_fract_y
_atom_site_fract_z
Zr1 0.000 0.000 0.000
Ni1 0.000 0.000 0.500
B1 0.500 0.500 0.500
Te1 0.000 0.500 0.000
# Energy relative to the elements, uncorrected (eV/atom): 1.308

# Ti2NiB2 | Alexandria via LeMat-Bulk | GGA-PBEsol | relaxed
data_Ti2NiB2
_chemical_formula_sum 'Ti4 Ni2 B4'
_cell_length_a 5.485
_cell_length_b 5.485
_cell_length_c 3.384
_cell_angle_alpha 90.00
_cell_angle_beta 90.00
_cell_angle_gamma 90.00
_symmetry_space_group_name_H-M 'P 4/m b m'
_symmetry_Int_Tables_number 127
_symmetry_space_group_name_Hall '-P 4 2ab'
loop_
_atom_site_label
_atom_site_fract_x
_atom_site_fract_y
_atom_site_fract_z
Ti1 0.175 0.325 0.000
Ni1 0.000 0.000 0.500
B1 0.118 0.618 0.500
# E_form (meV per atom): -781

# Ti3Ni20B6 | Alexandria via LeMat-Bulk | GGA-PBEsol | relaxed
data_Ti3Ni20B6
_chemical_formula_sum 'Ti12 Ni80 B24'
_cell_length_a 10.398
_cell_length_b 10.398
_cell_length_c 10.398
_cell_angle_alpha 90.00
_cell_angle_beta 90.00
_cell_angle_gamma 90.00
_symmetry_space_group_name_H-M 'F m -3 m'
_symmetry_Int_Tables_number 225
_symmetry_space_group_name_Hall '-F 4 2 3'
loop_
_atom_site_label
_atom_site_fract_x
_atom_site_fract_y
_atom_site_fract_z
Ti1 0.000 0.000 0.000
Ti2 0.250 0.250 0.250
Ni1 0.000 0.171 0.171
Ni2 0.117 0.117 0.383
B1 0.000 0.000 0.268
# E_form (meV per atom): -478

# TlNi3B | Alexandria via LeMat-Bulk | GGA-PBEsol | relaxed
data_TlNi3B
_chemical_formula_sum 'Tl1 Ni3 B1'
_cell_length_a 4.661
_cell_length_b 4.661
_cell_length_c 4.661
_cell_angle_alpha 90.00
_cell_angle_beta 90.00
_cell_angle_gamma 90.00
_symmetry_space_group_name_H-M 'P m -3 m'
_symmetry_Int_Tables_number 221
_symmetry_space_group_name_Hall '-P 4 2 3'
loop_
_atom_site_label
_atom_site_fract_x
_atom_site_fract_y
_atom_site_fract_z
Tl1 0.000 0.000 0.000
Ni1 0.000 0.000 0.500
B1 0.500 0.500 0.500
# E_form (meV per atom): 2336

# TmNi4B | Alexandria via LeMat-Bulk | GGA-PBEsol | relaxed
data_TmNi4B
_chemical_formula_sum 'Tm2 Ni8 B2'
_cell_length_a 4.8627
_cell_length_b 4.8627
_cell_length_c 6.8629
_cell_angle_alpha 90.00
_cell_angle_beta 90.00
_cell_angle_gamma 120.00
_symmetry_space_group_name_H-M 'P 6/m m m'
_symmetry_Int_Tables_number 191
_symmetry_space_group_name_Hall '-P 6 2'
loop_
_atom_site_label
_atom_site_fract_x
_atom_site_fract_y
_atom_site_fract_z
Tm1 0.0000 0.0000 0.0000
Tm2 0.0000 0.0000 0.5000
Ni1 0.0000 0.5000 0.2102
Ni2 0.3333 0.6667 0.5000
B1 0.3333 0.6667 0.0000
# E_form (meV per atom): -544

# Tm2Ni21B6 | Alexandria via LeMat-Bulk | GGA-PBEsol | relaxed
data_Tm2Ni21B6
_chemical_formula_sum 'Tm8 Ni84 B24'
_cell_length_a 10.504
_cell_length_b 10.504
_cell_length_c 10.504
_cell_angle_alpha 90.00
_cell_angle_beta 90.00
_cell_angle_gamma 90.00
_symmetry_space_group_name_H-M 'F m -3 m'
_symmetry_Int_Tables_number 225
_symmetry_space_group_name_Hall '-F 4 2 3'
loop_
_atom_site_label
_atom_site_fract_x
_atom_site_fract_y
_atom_site_fract_z
Tm1 0.250 0.250 0.250
Ni1 0.000 0.000 0.000
Ni2 0.000 0.169 0.169
Ni3 0.113 0.113 0.387
B1 0.000 0.000 0.270
# E_form (meV per atom): -403